First-principles (PBE-GGA) data for a relaxed MnTlReW2 crystal, as listed in the Alexandria database.

abc: 4.771 5.120 4.771
angles: 90.00 90.00 90.00
Last column: magnetic moment on the atom in μB.
Atoms (fractional coordinates):
W (0.000, 0.000, 0.500)  0.14
W (0.500, 0.000, 0.000)  0.28
Tl (0.000, 0.500, 0.000)  -0.01
Re (0.000, 0.000, 0.000)  -0.06
Mn (0.500, 0.500, 0.500)  0.09

---

First-principles (PBE-GGA) data for a relaxed Tb4AlAu2 crystal, as listed in the Alexandria database.

abc: 4.977 4.977 9.436
angles: 74.71 74.71 60.00
Atoms (fractional coordinates):
Tb (0.877, 0.877, 0.369)
Tb (0.292, 0.292, 0.123)
Tb (0.123, 0.123, 0.631)
Tb (0.708, 0.708, 0.877)
Al (0.500, 0.500, 0.500)
Au (0.597, 0.597, 0.208)
Au (0.403, 0.403, 0.792)

---

First-principles (PBE-GGA) data for a relaxed MnInSn2 crystal, as listed in the Alexandria database.

abc: 3.264 3.264 10.365
angles: 80.67 80.67 59.97
Last column: magnetic moment on the atom in μB.
Atoms (fractional coordinates):
Mn (0.667, 0.667, 0.999)  3.42
Sn (0.072, 0.072, 0.788)  -0.08
Sn (0.262, 0.262, 0.212)  -0.07
In (0.500, 0.500, 0.501)  -0.01

---

| no. | formation enthalpy at 0 K (eV per atom) |
| --- | --- |
| 1 | 2.42 |
| 2 | -0.45 |
| 3 | 0.18 |